1.
8
Lattice="-1.984 1.984 8.480 1.984 -1.984 8.480 1.984 1.984 -8.480" Properties=species:S:1:pos:R:3 comment="PBE MnCr2Bi, optimized geometry" e_form_ev_per_atom=1.06 pbc="T T T"
Mn 0.000 0.000 0.000
Mn 0.000 1.984 4.240
Cr 2.976 0.603 -2.120
Cr 0.603 0.992 2.120
Cr -0.992 1.381 6.360
Cr 1.381 0.992 10.600
Bi 1.984 0.000 4.240
Bi 0.000 0.000 8.480

=====

2.
12
Lattice="3.929 -6.807 0.000 3.929 6.807 0.000 -2.632 0.000 7.452" Properties=species:S:1:pos:R:3 comment="PBE Ac2Ce3TmTe6, optimized geometry" raw_formation_energy_kcal_per_mol_atoms=-31.35 pbc="T T T"
Ac 3.929 4.568 0.000
Ac 3.929 -4.568 0.000
Ce -1.316 0.000 3.726
Ce 2.613 2.413 3.726
Ce 2.613 -2.413 3.726
Tm 3.929 0.000 0.000
Te 0.074 2.145 5.589
Te 1.469 0.000 1.945
Te 0.074 -2.145 5.589
Te 5.152 2.145 1.863
Te 3.757 0.000 5.507
Te 5.152 -2.145 1.863

=====

3.
12
Lattice="6.744 -4.060 0.000 6.744 4.060 0.000 -0.161 0.000 6.106" Properties=species:S:1:pos:R:3 comment="PBE LiSm3S2Cl6, optimized geometry" raw_formation_energy_kcal_per_mol_atoms=-47.58 pbc="T T T"
Li 0.000 0.000 0.000
Sm 3.372 2.030 0.000
Sm 3.372 -2.030 0.000
Sm 6.663 0.000 3.053
S 4.417 0.000 1.492
S 8.909 0.000 4.613
Cl 1.939 0.000 4.731
Cl 5.525 2.052 4.573
Cl 7.800 2.052 1.533
Cl 5.525 -2.052 4.573
Cl 7.800 -2.052 1.533
Cl 11.387 0.000 1.374

=====

4.
8
Lattice="-1.945 1.945 6.435 1.945 -1.945 6.435 1.945 1.945 -6.435" Properties=species:S:1:pos:R:3 comment="PBE LaB2C, optimized geometry" e_form_ev_per_atom=0.44 pbc="T T T"
La 1.945 0.972 1.609
La 0.000 0.972 4.827
B 0.000 0.000 0.000
B 0.972 0.972 -3.218
B 0.972 -0.972 3.218
B 0.000 1.945 0.000
C 1.945 -0.972 4.827
C 0.000 2.917 1.609

=====

5.
4
Lattice="3.409 0.000 0.000 0.000 3.409 0.000 0.000 0.000 7.957" Properties=species:S:1:pos:R:3 comment="PBE DyTmInOs, optimized geometry" e_form_ev_per_atom=-0.39 e_above_lowest_polymorph_kj_per_mol_atoms=0.0 pbc="T T T"
Dy 0.000 0.000 0.000
Tm 0.000 0.000 4.678
In 1.705 1.705 2.377
Os 1.705 1.705 6.282

=====

6.
12
Lattice="4.001 -6.823 0.000 4.001 6.823 0.000 -2.619 0.000 7.422" Properties=species:S:1:pos:R:3 comment="PBE La6CoTe2I3, optimized geometry" raw_formation_energy_kcal_per_mol_atoms=-25.16 pbc="T T T"
La 1.147 1.949 1.510
La -0.205 0.000 5.670
La 1.147 -1.949 1.510
La 4.236 1.949 5.912
La 5.588 0.000 1.752
La 4.236 -1.949 5.912
Co 0.000 0.000 0.000
Te 4.001 2.239 0.000
Te 4.001 -2.239 0.000
I 2.692 4.221 3.711
I 2.692 0.000 3.711
I 2.692 -4.221 3.711

=====

7.
4
Lattice="2.974 0.000 0.000 0.000 4.107 0.000 -0.006 0.000 4.853" Properties=species:S:1:pos:R:3 comment="PBE Cr2WSe, optimized geometry" raw_formation_energy_kcal_per_mol_atoms=9.49 pbc="T T T"
Cr 0.006 0.000 1.019
Cr 2.962 0.000 3.834
W 1.487 2.053 0.000
Se -0.003 2.053 2.426

=====

8.
16
Lattice="4.107 0.000 0.000 0.000 4.107 0.000 0.000 0.000 16.356" Properties=species:S:1:pos:R:3 comment="PBE Tm3UPd12, optimized geometry" e_form_ev_per_atom=-0.84 pbc="T T T"
Tm 0.000 0.000 0.000
Tm 0.000 0.000 4.013
Tm 0.000 0.000 12.343
U 0.000 0.000 8.178
Pd 0.000 2.054 2.048
Pd 0.000 2.054 6.175
Pd 0.000 2.054 10.181
Pd 0.000 2.054 14.308
Pd 2.054 0.000 2.048
Pd 2.054 0.000 6.175
Pd 2.054 0.000 10.181
Pd 2.054 0.000 14.308
Pd 2.054 2.054 0.000
Pd 2.054 2.054 4.105
Pd 2.054 2.054 8.178
Pd 2.054 2.054 12.252

=====

9.
7
Lattice="2.459 1.420 7.975 -2.459 1.420 7.975 0.000 -2.840 7.975" Properties=species:S:1:pos:R:3 comment="PBE Tb4AgIr2, optimized geometry" e_form_ev_per_atom=-0.63 e_above_lowest_polymorph_kj_per_mol_atoms=0.0 pbc="T T T"
Tb 0.000 0.000 2.884
Tb 0.000 0.000 8.890
Tb 0.000 0.000 15.034
Tb 0.000 0.000 21.039
Ag 0.000 0.000 11.962
Ir 0.000 0.000 5.962
Ir 0.000 0.000 17.962

=====

10.
18
Lattice="5.700 0.000 0.000 0.000 5.765 0.000 -4.805 0.000 8.186" Properties=species:S:1:pos:R:3 comment="PBE Na2GaF6, optimized geometry" raw_formation_energy_kcal_per_mol_atoms=-54.83 pbc="T T T"
Na -0.014 0.436 1.840
Na -2.416 2.447 5.933
Na 3.312 3.318 2.253
Na 0.909 5.330 6.346
Ga 2.850 0.000 0.000
Ga 0.448 2.883 4.093
F -3.521 1.028 7.788
F -1.119 1.854 3.695
F -2.835 4.300 7.300
F -0.433 4.348 3.207
F -1.180 0.582 6.549
F 1.223 2.301 2.456
F -0.328 3.464 5.730
F 2.075 5.184 1.637
F 1.328 1.417 4.980
F 3.730 1.466 0.887
F 2.014 3.911 4.491
F 4.416 4.737 0.398

=====

| no. | calculated total energy (eV per cell) |
| --- | --- |
| 1 | -56.1 |
| 2 | -65.7 |
| 3 | -60.2 |
| 4 | -51.5 |
| 5 | -24.6 |
| 6 | -60.7 |
| 7 | -34.0 |
| 8 | -100.5 |
| 9 | -43.5 |
| 10 | -76.6 |